## i
! In2SiCl | Alexandria | PBE-GGA | relaxed; values from VASP
! * density of states at the Fermi level: 0.543 states/eV/atom
&SYSTEM
  ibrav = 0, nat = 16, ntyp = 3
/
ATOMIC_SPECIES
In 114.82 In.upf
Si 28.09 Si.upf
Cl 35.45 Cl.upf
ATOMIC_POSITIONS crystal
In 0.250 0.250 0.250
In 0.250 0.250 0.750
In 0.250 0.750 0.250
In 0.250 0.750 0.750
In 0.750 0.250 0.250
In 0.750 0.250 0.750
In 0.750 0.750 0.250
In 0.750 0.750 0.750
Si 0.000 0.000 0.000
Si 0.000 0.500 0.500
Si 0.500 0.000 0.500
Si 0.500 0.500 0.000
Cl 0.000 0.000 0.500
Cl 0.000 0.500 0.000
Cl 0.500 0.000 0.000
Cl 0.500 0.500 0.500
CELL_PARAMETERS angstrom
7.157 0.000 0.000
0.000 7.157 0.000
0.000 0.000 7.157

=====

## ii
! In2SiCl | Alexandria | PBE-GGA | relaxed; values from VASP
! * density of states at the Fermi level: 0.649 states/eV/atom
&SYSTEM
  ibrav = 0, nat = 16, ntyp = 3
/
ATOMIC_SPECIES
In 114.82 In.upf
Si 28.09 Si.upf
Cl 35.45 Cl.upf
ATOMIC_POSITIONS crystal
In 0.210 0.250 0.125
In 0.250 0.710 0.375
In 0.250 0.790 0.875
In 0.290 0.250 0.625
In 0.710 0.750 0.625
In 0.750 0.210 0.875
In 0.750 0.290 0.375
In 0.790 0.750 0.125
Si 0.000 0.000 0.000
Si 0.000 0.500 0.250
Si 0.500 0.000 0.750
Si 0.500 0.500 0.500
Cl 0.000 0.000 0.500
Cl 0.000 0.500 0.750
Cl 0.500 0.000 0.250
Cl 0.500 0.500 0.000
CELL_PARAMETERS angstrom
6.283 0.000 0.000
0.000 6.283 0.000
0.000 0.000 13.296

=====

Preferred: ii; penalty for the next structure: 49 meV/atom.

=====

## i
! In2SiCl | Alexandria | PBE-GGA | relaxed; values from VASP
! * density of states at the Fermi level: 0.275 states/eV/atom
&SYSTEM
  ibrav = 0, nat = 8, ntyp = 3
/
ATOMIC_SPECIES
In 114.82 In.upf
Si 28.09 Si.upf
Cl 35.45 Cl.upf
ATOMIC_POSITIONS crystal
In 0.114 0.000 0.338
In 0.386 0.500 0.662
In 0.614 0.500 0.338
In 0.886 0.000 0.662
Si 0.000 0.500 0.500
Si 0.500 0.000 0.500
Cl 0.000 0.000 0.000
Cl 0.500 0.500 0.000
CELL_PARAMETERS angstrom
7.467 0.000 0.000
0.000 4.310 0.000
-2.441 0.000 7.681

=====

## ii
! In2SiCl | Alexandria | PBE-GGA | relaxed; values from VASP
! * density of states at the Fermi level: 0.441 states/eV/atom
&SYSTEM
  ibrav = 0, nat = 4, ntyp = 3
/
ATOMIC_SPECIES
In 114.82 In.upf
Si 28.09 Si.upf
Cl 35.45 Cl.upf
ATOMIC_POSITIONS crystal
In 0.008 0.000 0.206
In 0.992 0.000 0.794
Si 0.500 0.500 0.000
Cl 0.000 0.500 0.500
CELL_PARAMETERS angstrom
3.663 0.000 0.000
0.000 3.532 0.000
-0.098 0.000 7.807

=====

## iii
! In2SiCl | Alexandria | PBE-GGA | relaxed; values from VASP
! * density of states at the Fermi level: 0.443 states/eV/atom
&SYSTEM
  ibrav = 0, nat = 16, ntyp = 3
/
ATOMIC_SPECIES
In 114.82 In.upf
Si 28.09 Si.upf
Cl 35.45 Cl.upf
ATOMIC_POSITIONS crystal
In 0.000 0.000 0.000
In 0.000 0.500 0.500
In 0.250 0.250 0.250
In 0.250 0.750 0.750
In 0.500 0.000 0.500
In 0.500 0.500 0.000
In 0.750 0.250 0.750
In 0.750 0.750 0.250
Si 0.000 0.000 0.500
Si 0.000 0.500 0.000
Si 0.500 0.000 0.000
Si 0.500 0.500 0.500
Cl 0.250 0.250 0.750
Cl 0.250 0.750 0.250
Cl 0.750 0.250 0.250
Cl 0.750 0.750 0.750
CELL_PARAMETERS angstrom
7.175 0.000 0.000
0.000 7.175 0.000
0.000 0.000 7.175

=====

## iv
! In2SiCl | Alexandria | PBE-GGA | relaxed; values from VASP
! * density of states at the Fermi level: 0.516 states/eV/atom
&SYSTEM
  ibrav = 0, nat = 4, ntyp = 3
/
ATOMIC_SPECIES
In 114.82 In.upf
Si 28.09 Si.upf
Cl 35.45 Cl.upf
ATOMIC_POSITIONS crystal
In 0.000 0.000 0.000
In 0.500 0.000 0.500
Si 0.000 0.500 0.500
Cl 0.500 0.500 0.000
CELL_PARAMETERS angstrom
3.350 0.000 0.000
0.000 5.091 0.000
0.000 0.000 5.570

=====

Preferred: i; penalty for the next structure: 120 meV/atom.